1.
Here is a relaxed KY2Si crystal from Alexandria via LeMat-Bulk. Energies are from PBE.

**Uncorrected formation energy**: -14 kJ per mole of atoms
**Mass density**: 2.63 g/cm³

abc: 4.0956 4.0956 10.9272
angles: 79.32 79.32 59.87
Fractional positions:
Y1 0.9645 0.9645 0.1059
Y2 0.5355 0.5355 0.3941
K1 0.7500 0.7500 0.7500
Si1 0.2500 0.2500 0.2500

2.
Here is a relaxed NdEuCdIn crystal from Alexandria via LeMat-Bulk. Energies are from PBE.

**Formation energy**: -0.4078 eV per atom
**Mass density**: 7.31 g/cm³

abc: 5.5203 5.5203 5.5203
angles: 60.00 60.00 60.00
Fractional positions:
Cd1 0.7500 0.7500 0.7500
Nd1 0.0000 0.0000 0.0000
Eu1 0.5000 0.5000 0.5000
In1 0.2500 0.2500 0.2500

3.
Here is a relaxed Cr2CoGe crystal from Alexandria via LeMat-Bulk. Energies are from PBE.

**Formation energy**: 0.0138 eV per atom
**Mass density**: 8.28 g/cm³

abc: 4.0375 3.4217 3.4217
angles: 90.00 90.00 90.00
Fractional positions:
Cr1 0.0000 0.0000 0.5000
Cr2 0.0000 0.5000 0.0000
Ge1 0.5000 0.5000 0.5000
Co1 0.5000 0.0000 0.0000

4.
Here is a relaxed Ga2IrAu crystal from Alexandria via LeMat-Bulk. Energies are from PBE.

**Formation energy**: -0.1903 eV per atom
**Mass density**: 13.79 g/cm³

abc: 3.0001 3.0001 7.0706
angles: 90.00 90.00 90.00
Fractional positions:
Ga1 0.0000 0.0000 0.2265
Ga2 0.0000 0.0000 0.7735
Ir1 0.5000 0.5000 0.0000
Au1 0.5000 0.5000 0.5000

5.
Here is a relaxed TlAsN2O crystal from Alexandria via LeMat-Bulk. Energies are from PBE.

**Uncorrected formation energy**: 183 kJ per mole of atoms
**Mass density**: 7.00 g/cm³

abc: 4.3115 4.3115 4.1269
angles: 90.00 90.00 90.00
Fractional positions:
N1 0.5000 0.0000 0.0000
N2 0.0000 0.5000 0.0000
As1 0.5000 0.5000 0.5000
Tl1 0.0000 0.0000 0.0000
O1 0.0000 0.0000 0.5000

6.
Here is a relaxed Tm4Ga3Sn crystal from Alexandria via LeMat-Bulk. Energies are from PBE.

**Formation energy**: -0.6349 eV per atom
**Mass density**: 8.70 g/cm³

abc: 4.3504 4.0650 10.8337
angles: 90.00 90.00 90.00
Fractional positions:
Ga1 0.5000 0.0000 0.9093
Ga2 0.0000 0.5000 0.5786
Ga3 0.0000 0.0000 0.4230
Tm1 0.5000 0.5000 0.3697
Tm2 0.5000 0.0000 0.6368
Tm3 0.0000 0.0000 0.1461
Tm4 0.0000 0.5000 0.8555
Sn1 0.5000 0.5000 0.0810

7.
Here is a relaxed LiAs3Se4 crystal from Alexandria via LeMat-Bulk. Energies are from PBE.

**Uncorrected formation energy**: -23 kJ per mole of atoms
**Mass density**: 5.14 g/cm³

abc: 5.5992 5.7119 11.0688
angles: 90.00 90.00 90.00
Fractional positions:
Se1 0.5946 0.2447 0.5000
Se2 0.0554 0.2885 0.2544
Se3 0.5682 0.2671 0.0000
Se4 0.0682 0.7329 0.5000
Se5 0.0554 0.2885 0.7456
Se6 0.5554 0.7115 0.7544
Se7 0.0946 0.7553 0.0000
Se8 0.5554 0.7115 0.2456
Li1 0.0670 0.2417 0.0000
Li2 0.5670 0.7583 0.5000
As1 0.0657 0.7345 0.2516
As2 0.0657 0.7345 0.7484
As3 0.5657 0.2655 0.7516
As4 0.5657 0.2655 0.2484
As5 0.5433 0.7231 0.0000
As6 0.0433 0.2769 0.5000

8.
Here is a relaxed Ag4S3Cl4 crystal from Alexandria via LeMat-Bulk. Energies are from PBE.

**Uncorrected formation energy**: -22 kJ per mole of atoms
**Mass density**: 3.16 g/cm³

abc: 7.2189 7.3144 8.1166
angles: 90.00 90.00 124.83
Fractional positions:
Ag1 0.9096 0.1077 0.5000
Ag2 0.8518 0.5646 0.2487
Ag3 0.2301 0.9636 0.0000
Ag4 0.8518 0.5646 0.7513
S1 0.2435 0.6566 0.1990
S2 0.2435 0.6566 0.8010
S3 0.2331 0.4983 0.0000
Cl1 0.5972 0.3516 0.0000
Cl2 0.7200 0.3101 0.5000
Cl3 0.9589 0.9616 0.7644
Cl4 0.9589 0.9616 0.2356

9.
Here is a relaxed Sr5HgPt2 crystal from Alexandria via LeMat-Bulk. Energies are from PBE.

**Formation energy**: -0.6646 eV per atom
**Mass density**: 6.45 g/cm³

abc: 8.2835 8.2835 9.6925
angles: 115.30 115.30 90.00
Fractional positions:
Sr1 0.9650 0.4650 0.2653
Sr2 0.1997 0.0350 0.7347
Sr3 0.3003 0.8003 0.2653
Sr4 0.0000 0.0000 0.0000
Sr5 0.5000 0.5000 0.0000
Sr6 0.5350 0.6997 0.7347
Sr7 0.6997 0.1997 0.7347
Sr8 0.0350 0.5350 0.7347
Sr9 0.8003 0.9650 0.2653
Sr10 0.4650 0.3003 0.2653
Hg1 0.2500 0.2500 0.5000
Hg2 0.7500 0.7500 0.5000
Pt1 0.1267 0.3733 0.0000
Pt2 0.8733 0.6267 0.0000
Pt3 0.6267 0.1267 0.0000
Pt4 0.3733 0.8733 0.0000

10.
Here is a relaxed ErBi2Sb crystal from Alexandria via LeMat-Bulk. Energies are from PBE.

**Uncorrected formation energy**: 27 kJ per mole of atoms
**Mass density**: 8.67 g/cm³

abc: 3.8162 3.8162 10.9583
angles: 79.97 79.97 60.00
Fractional positions:
Sb1 0.5000 0.5000 0.5000
Bi1 0.9029 0.9029 0.2913
Bi2 0.0971 0.0971 0.7087
Er1 0.0000 0.0000 0.0000

11.
Here is a relaxed POs crystal from Alexandria via LeMat-Bulk. Energies are from PBE.

**Formation energy**: 0.0205 eV per atom
**Mass density**: 9.53 g/cm³

abc: 10.2115 10.2115 2.9565
angles: 90.00 90.00 90.00
Fractional positions:
Os1 0.8667 0.7402 0.5000
Os2 0.7598 0.3667 0.0000
Os3 0.2598 0.8667 0.5000
Os4 0.6333 0.7598 0.0000
Os5 0.2402 0.6333 0.0000
Os6 0.3667 0.2402 0.0000
Os7 0.1333 0.2598 0.5000
Os8 0.7402 0.1333 0.5000
P1 0.7098 0.9132 0.5000
P2 0.9132 0.2902 0.5000
P3 0.2098 0.4132 0.0000
P4 0.7902 0.5868 0.0000
P5 0.0868 0.7098 0.5000
P6 0.5868 0.2098 0.0000
P7 0.4132 0.7902 0.0000
P8 0.2902 0.0868 0.5000

12.
Here is a relaxed LiSb2Au8 crystal from Alexandria via LeMat-Bulk. Energies are from PBE.

**Uncorrected formation energy**: -10 kJ per mole of atoms
**Mass density**: 13.95 g/cm³

abc: 4.2091 8.1684 7.8171
angles: 121.50 105.62 90.00
Fractional positions:
Au1 0.3419 0.5956 0.6837
Au2 0.6581 0.4044 0.3163
Au3 0.0000 0.2344 0.0000
Au4 0.3419 0.0882 0.6838
Au5 0.0000 0.7656 0.0000
Au6 0.8311 0.8311 0.6622
Au7 0.6581 0.9118 0.3162
Au8 0.1689 0.1689 0.3378
Li1 0.5000 0.0000 0.0000
Sb1 0.1514 0.6514 0.3027
Sb2 0.8486 0.3486 0.6973

13.
Here is a relaxed La6GeAs2Cl3 crystal from Alexandria via LeMat-Bulk. Energies are from PBE.

**Uncorrected formation energy**: -150 kJ per mole of atoms
**Mass density**: 5.70 g/cm³

abc: 4.3459 8.5351 9.5667
angles: 101.24 103.13 90.00
Fractional positions:
Cl1 0.8344 0.1681 0.6688
Cl2 0.1656 0.8319 0.3312
Cl3 0.5000 0.5000 0.0000
La1 0.3366 0.9098 0.6732
La2 0.6695 0.5751 0.3390
La3 0.9969 0.7574 0.9938
La4 0.3305 0.4249 0.6610
La5 0.6634 0.0902 0.3268
La6 0.0031 0.2426 0.0062
As1 0.8327 0.6663 0.6654
As2 0.1673 0.3337 0.3346
Ge1 0.5000 0.0000 0.0000

14.
Here is a relaxed Dy2Al2Ga4Pt crystal from Alexandria via LeMat-Bulk. Energies are from PBE.

**Formation energy**: -0.6410 eV per atom
**Mass density**: 8.26 g/cm³

abc: 6.2259 6.2259 6.2259
angles: 90.63 119.63 119.63
Fractional positions:
Ga1 0.0000 0.7151 0.2849
Ga2 0.4302 0.7151 0.7151
Ga3 0.0000 0.2849 0.7151
Ga4 0.5698 0.2849 0.2849
Al1 0.0000 0.7167 0.7167
Al2 0.0000 0.2833 0.2833
Pt1 0.0000 0.0000 0.0000
Dy1 0.5000 0.7500 0.2500
Dy2 0.5000 0.2500 0.7500

15.
Here is a relaxed Be3BrF crystal from Alexandria via LeMat-Bulk. Energies are from PBE.

**Uncorrected formation energy**: 66 kJ per mole of atoms
**Mass density**: 2.93 g/cm³
**Excess energy over the best structure of this formula in the dataset**: 0.0 meV/atom

abc: 4.1503 4.1503 4.1503
angles: 90.00 90.00 90.00
Fractional positions:
F1 0.0000 0.0000 0.0000
Be1 0.0000 0.0000 0.5000
Be2 0.5000 0.0000 0.0000
Be3 0.0000 0.5000 0.0000
Br1 0.5000 0.5000 0.5000

16.
Here is a relaxed RbHg3I crystal from Alexandria via LeMat-Bulk. Energies are from PBE.

**Uncorrected formation energy**: -15 kJ per mole of atoms
**Mass density**: 4.36 g/cm³
**Excess energy over the best structure of this formula in the dataset**: 0.0 meV/atom

abc: 6.7693 6.7693 6.7693
angles: 90.00 90.00 90.00
Fractional positions:
I1 0.5000 0.5000 0.5000
Hg1 0.0000 0.0000 0.5000
Hg2 0.5000 0.0000 0.0000
Hg3 0.0000 0.5000 0.0000
Rb1 0.0000 0.0000 0.0000

17.
Here is a relaxed RbAlPdRu2 crystal from Alexandria via LeMat-Bulk. Energies are from PBE.

**Formation energy**: 1.7245 eV per atom
**Mass density**: 5.09 g/cm³

abc: 4.9296 5.6546 4.9296
angles: 90.00 90.00 90.00
Fractional positions:
Rb1 0.0000 0.5000 0.0000
Pd1 0.0000 0.0000 0.0000
Ru1 0.0000 0.0000 0.5000
Ru2 0.5000 0.0000 0.0000
Al1 0.5000 0.5000 0.5000

18.
Here is a relaxed Ac8HgRu3Br4 crystal from Alexandria via LeMat-Bulk. Energies are from PBE.

**Uncorrected formation energy**: -83 kJ per mole of atoms
**Mass density**: 7.88 g/cm³

abc: 8.8226 9.6980 8.8219
angles: 117.10 120.00 90.00
Fractional positions:
Br1 0.0000 0.0000 0.5000
Br2 0.5000 0.0000 0.0000
Br3 0.5000 0.0000 0.5000
Br4 0.0000 0.0000 0.0000
Ru1 0.0000 0.5000 0.5000
Ru2 0.5000 0.5000 0.5000
Ru3 0.5000 0.5000 0.0000
Ac1 0.7566 0.3045 0.0475
Ac2 0.2665 0.3000 0.5331
Ac3 0.7335 0.7000 0.4669
Ac4 0.7567 0.3046 0.5133
Ac5 0.2433 0.6954 0.4867
Ac6 0.2434 0.6955 0.9525
Ac7 0.7091 0.6955 0.9525
Ac8 0.2909 0.3045 0.0475
Hg1 0.0000 0.5000 0.0000

19.
Here is a relaxed RbCaFe2 crystal from Alexandria via LeMat-Bulk. Energies are from PBE.

**Formation energy**: 1.2916 eV per atom
**Mass density**: 3.60 g/cm³
**Excess energy over the best structure of this formula in the dataset**: 0.0 meV/atom

abc: 5.3697 5.3697 5.3697
angles: 60.00 60.00 60.00
Fractional positions:
Rb1 0.5000 0.5000 0.5000
Fe1 0.7500 0.7500 0.7500
Fe2 0.2500 0.2500 0.2500
Ca1 0.0000 0.0000 0.0000

20.
Here is a relaxed HgGeCl4 crystal from Alexandria via LeMat-Bulk. Energies are from PBE.

**Uncorrected formation energy**: -72 kJ per mole of atoms
**Mass density**: 2.60 g/cm³
**Excess energy over the best structure of this formula in the dataset**: 0.0 meV/atom

abc: 8.8597 10.0067 11.9613
angles: 90.00 90.00 90.00
Fractional positions:
Cl1 0.9466 0.3146 0.4405
Cl2 0.7500 0.4088 0.7702
Cl3 0.4466 0.8146 0.0595
Cl4 0.9466 0.1854 0.9405
Cl5 0.2500 0.9088 0.7298
Cl6 0.2500 0.5478 0.9404
Cl7 0.7500 0.0478 0.5596
Cl8 0.0534 0.8146 0.0595
Cl9 0.2500 0.5912 0.2298
Cl10 0.0534 0.6854 0.5595
Cl11 0.4466 0.6854 0.5595
Cl12 0.5534 0.3146 0.4405
Cl13 0.7500 0.0912 0.2702
Cl14 0.7500 0.4522 0.0596
Cl15 0.2500 0.9522 0.4404
Cl16 0.5534 0.1854 0.9405
Hg1 0.7500 0.6785 0.3078
Hg2 0.2500 0.1785 0.1922
Hg3 0.2500 0.3215 0.6922
Hg4 0.7500 0.8215 0.8078
Ge1 0.7500 0.1919 0.4277
Ge2 0.2500 0.6919 0.0723
Ge3 0.7500 0.3081 0.9277
Ge4 0.2500 0.8081 0.5723